Nd2Sm3Sn2 | PBE-GGA | optimized geometry

Cell: 3.5674 8.1463 8.9854 Å, 119.16 101.45 90.00°
With the nearest neighbours (Å) after each atom.
Sites, in units of the cell vectors:
Nd  0.1147  0.2566  0.2295  4 Sn 3.30-3.52, 3 Sm 3.46-3.67, 2 Nd 3.57
Nd  0.8853  0.7434  0.7705  4 Sn 3.30-3.52, 3 Sm 3.46-3.67, 2 Nd 3.57
Sn  0.4198  0.1144  0.8395  5 Sm 3.26-3.36, 4 Nd 3.30-3.52, 2 Sn 3.57
Sn  0.5802  0.8856  0.1605  5 Sm 3.26-3.36, 4 Nd 3.30-3.52, 2 Sn 3.57
Sm  0.7880  0.2198  0.5760  5 Sm 3.27-3.61, 3 Sn 3.30-3.36
Sm  0.0000  0.5000  0.0000  4 Sn 3.26, 4 Sm 3.27-3.57, 2 Nd 3.46
Sm  0.2120  0.7802  0.4240  5 Sm 3.27-3.61, 3 Sn 3.30-3.36

Summary:
The total energy comes out at -4.82 eV per atom. The formation energy is -2.1 eV/f.u.



Nd3SmSn12 | PBE-GGA | optimized geometry

Cell: 4.7891 4.7891 18.8878 Å, 90.00 90.00 90.00°
With the nearest neighbours (Å) after each atom.
Sites, in units of the cell vectors:
Sn  0.5000  0.0000  0.6256  4 Nd 3.37, 8 Sn 3.37-3.39
Sn  0.5000  0.0000  0.1235  8 Sn 3.34-3.39, 2 Sm 3.34, 2 Nd 3.37
Sn  0.0000  0.5000  0.6256  4 Nd 3.37, 8 Sn 3.37-3.39
Sn  0.5000  0.0000  0.8765  8 Sn 3.34-3.39, 2 Sm 3.34, 2 Nd 3.37
Sn  0.0000  0.5000  0.8765  8 Sn 3.34-3.39, 2 Sm 3.34, 2 Nd 3.37
Sn  0.0000  0.5000  0.3744  4 Nd 3.37, 8 Sn 3.37-3.39
Sn  0.5000  0.5000  0.7511  8 Sn 3.37, 4 Nd 3.39
Sn  0.5000  0.5000  0.5000  8 Sn 3.37, 4 Nd 3.39
Sn  0.5000  0.0000  0.3744  4 Nd 3.37, 8 Sn 3.37-3.39
Sn  0.0000  0.5000  0.1235  8 Sn 3.34-3.39, 2 Sm 3.34, 2 Nd 3.37
Sn  0.5000  0.5000  0.2489  8 Sn 3.37, 4 Nd 3.39
Sn  0.5000  0.5000  0.0000  8 Sn 3.34, 4 Sm 3.39
Nd  0.0000  0.0000  0.2491  12 Sn 3.37-3.39
Nd  0.0000  0.0000  0.5000  12 Sn 3.37-3.39
Nd  0.0000  0.0000  0.7509  12 Sn 3.37-3.39
Sm  0.0000  0.0000  0.0000  12 Sn 3.34-3.39

Summary:
The total energy comes out at -4.69 eV per atom. The formation energy is -7.9 eV/f.u.



Nd2SmSn | PBE-GGA | optimized geometry

Cell: 5.5634 5.5634 5.5634 Å, 60.00 60.00 60.00°
With the nearest neighbours (Å) after each atom.
Sites, in units of the cell vectors:
Nd  0.7500  0.7500  0.7500  4 Sm 3.41, 4 Sn 3.41
Nd  0.2500  0.2500  0.2500  4 Sn 3.41, 4 Sm 3.41
Sm  0.0000  0.0000  0.0000  8 Nd 3.41
Sn  0.5000  0.5000  0.5000  8 Nd 3.41

Summary:
The total energy comes out at -4.82 eV per atom. For the energy above the most stable polymorph in this dataset, the calculation gives 190 meV/atom. The formation energy is -1.0 eV/f.u.



Nd2Sm8Sn3 | PBE-GGA | optimized geometry

Cell: 6.4950 6.4950 12.4393 Å, 74.87 74.87 60.00°
With the nearest neighbours (Å) after each atom.
Sites, in units of the cell vectors:
Sm  0.2832  0.7822  0.6514  4 Sm 3.24-3.25, 3 Sn 3.27-3.37, 1 Nd 3.55
Sm  0.2774  0.2774  0.1677  1 Sn 3.06, 1 Nd 3.11
Sm  0.7168  0.2178  0.3486  4 Sm 3.24-3.25, 3 Sn 3.27-3.37, 1 Nd 3.55
Sm  0.2178  0.7168  0.3486  4 Sm 3.24-3.25, 3 Sn 3.27-3.37, 1 Nd 3.55
Sm  0.7822  0.2832  0.6514  4 Sm 3.24-3.25, 3 Sn 3.27-3.37, 1 Nd 3.55
Sm  0.7226  0.7226  0.8323  1 Sn 3.06, 1 Nd 3.11
Sm  0.2832  0.2832  0.6514  4 Sm 3.24-3.25, 3 Sn 3.27-3.37, 1 Nd 3.55
Sm  0.7168  0.7168  0.3486  4 Sm 3.24-3.25, 3 Sn 3.27-3.37, 1 Nd 3.55
Sn  0.0000  0.0000  0.0000  6 Nd 3.91, 6 Sm 4.24
Sn  0.8087  0.8087  0.5740  10 Sm 3.06-3.37
Sn  0.1913  0.1913  0.4260  10 Sm 3.06-3.37
Nd  0.3648  0.3648  0.9056  1 Sm 3.11
Nd  0.6352  0.6352  0.0944  1 Sm 3.11

Summary:
The total energy comes out at -4.58 eV per atom. The formation energy is -0.3 eV/f.u.



TbNdSmSn | PBE-GGA | optimized geometry

Cell: 5.5141 5.5141 5.5141 Å, 60.00 60.00 60.00°
With the nearest neighbours (Å) after each atom.
Sites, in units of the cell vectors:
Sn  0.2500  0.2500  0.2500  4 Nd 3.38, 4 Sm 3.38
Tb  0.7500  0.7500  0.7500  4 Nd 3.38, 4 Sm 3.38
Nd  0.5000  0.5000  0.5000  4 Sn 3.38, 4 Tb 3.38
Sm  0.0000  0.0000  0.0000  4 Tb 3.38, 4 Sn 3.38

Summary:
The total energy comes out at -4.79 eV per atom. The formation energy is -1.0 eV/f.u.



NdSmSnTe | PBE-GGA | optimized geometry

Cell: 4.4910 4.4910 7.8390 Å, 73.35 73.35 60.00°
With the nearest neighbours (Å) after each atom.
Sites, in units of the cell vectors:
Sn  0.6952  0.6952  0.9145  3 Sm 3.13, 3 Nd 3.16
Sm  0.4410  0.4410  0.6771  3 Sn 3.13, 3 Te 3.21
Te  0.1929  0.1929  0.4212  3 Sm 3.21, 3 Nd 3.24
Nd  0.9473  0.9473  0.1580  3 Sn 3.16, 3 Te 3.24

Summary:
The total energy comes out at -5.27 eV per atom. As for the formation energy from raw total energies: -4.44 eV per formula unit.



NdSmTlSn | PBE-GGA | optimized geometry

Cell: 4.6775 4.4234 6.3307 Å, 90.00 111.68 90.00°
With the nearest neighbours (Å) after each atom.
Sites, in units of the cell vectors:
Sn  0.5882  0.5000  0.1764  2 Tl 3.04, 1 Nd 3.25, 4 Sm 3.27
Sm  0.1366  0.0000  0.2733  3 Tl 3.22-3.54, 4 Sn 3.27
Tl  0.4107  0.0000  0.8214  2 Sn 3.04, 1 Sm 3.22, 4 Nd 3.26
Nd  0.8645  0.5000  0.7289  3 Sn 3.25-3.52, 4 Tl 3.26

Summary:
The total energy comes out at -4.54 eV per atom. For the energy above the most stable polymorph in this dataset, the calculation gives 0 meV/atom. The formation energy is -2.3 eV/f.u.



NdSmTlSn | PBE-GGA | optimized geometry

Cell: 5.4781 5.4781 5.4781 Å, 60.00 60.00 60.00°
With the nearest neighbours (Å) after each atom.
Sites, in units of the cell vectors:
Sm  0.0000  0.0000  0.0000  4 Tl 3.35, 4 Sn 3.35
Sn  0.2500  0.2500  0.2500  4 Sm 3.35, 4 Nd 3.35
Tl  0.7500  0.7500  0.7500  4 Sm 3.35, 4 Nd 3.35
Nd  0.5000  0.5000  0.5000  4 Sn 3.35, 4 Tl 3.35

Summary:
The total energy comes out at -4.47 eV per atom. For the energy above the most stable polymorph in this dataset, the calculation gives 74 meV/atom. The formation energy is -2.0 eV/f.u.



NdSmZnSn | PBE-GGA | optimized geometry

Cell: 5.3204 5.3204 5.3204 Å, 60.00 60.00 60.00°
With the nearest neighbours (Å) after each atom.
Sites, in units of the cell vectors:
Zn  0.7500  0.7500  0.7500  4 Nd 3.26, 4 Sm 3.26
Sm  0.5000  0.5000  0.5000  4 Sn 3.26, 4 Zn 3.26
Sn  0.2500  0.2500  0.2500  4 Sm 3.26, 4 Nd 3.26
Nd  0.0000  0.0000  0.0000  4 Sn 3.26, 4 Zn 3.26

Summary:
The total energy comes out at -4.21 eV per atom. The formation energy is -2.1 eV/f.u.



NdSm2Zn2Sn2 | PBE-GGA | optimized geometry

Cell: 4.6636 4.6636 10.0507 Å, 76.58 76.58 60.00°
With the nearest neighbours (Å) after each atom.
Sites, in units of the cell vectors:
Sm  0.1314  0.1314  0.6059  3 Zn 3.02, 3 Sn 3.29
Sm  0.8686  0.8686  0.3941  3 Zn 3.02, 3 Sn 3.29
Nd  0.0000  0.0000  0.0000  6 Sn 3.31, 6 Zn 3.65
Sn  0.2668  0.2668  0.1996  3 Zn 2.74
Sn  0.7332  0.7332  0.8004  3 Zn 2.74
Zn  0.4179  0.4179  0.7462  3 Sn 2.74, 3 Sm 3.02
Zn  0.5821  0.5821  0.2538  3 Sn 2.74, 3 Sm 3.02

Summary:
The total energy comes out at -3.92 eV per atom. The formation energy is -2.7 eV/f.u.



Nd2SmZn2Sn2 | PBE-GGA | optimized geometry

Cell: 4.6606 4.6606 10.1314 Å, 76.70 76.70 60.00°
With the nearest neighbours (Å) after each atom.
Sites, in units of the cell vectors:
Sn  0.7308  0.7308  0.8076  3 Zn 2.74
Sn  0.2692  0.2692  0.1924  3 Zn 2.74
Nd  0.1305  0.1305  0.6084  3 Zn 3.04, 3 Sn 3.32
Nd  0.8695  0.8695  0.3916  3 Zn 3.04, 3 Sn 3.32
Zn  0.5848  0.5848  0.2457  3 Sn 2.74, 3 Nd 3.04
Zn  0.4152  0.4152  0.7543  3 Sn 2.74, 3 Nd 3.04
Sm  0.0000  0.0000  0.0000  6 Sn 3.28, 6 Zn 3.61

Summary:
The total energy comes out at -3.92 eV per atom. The formation energy is -2.7 eV/f.u.



SrNdSm2 | PBE-GGA | optimized geometry

Cell: 5.9729 5.9729 5.9729 Å, 60.00 60.00 60.00°
With the nearest neighbours (Å) after each atom.
Sites, in units of the cell vectors:
Nd  0.0000  0.0000  0.0000  8 Sm 3.66
Sm  0.7500  0.7500  0.7500  4 Nd 3.66, 4 Sr 3.66
Sm  0.2500  0.2500  0.2500  4 Sr 3.66, 4 Nd 3.66
Sr  0.5000  0.5000  0.5000  8 Sm 3.66

Summary:
The total energy comes out at -3.74 eV per atom. For the energy above the most stable polymorph in this dataset, the calculation gives 130 meV/atom. The formation energy is 0.9 eV/f.u.



SrNd2Sm | PBE-GGA | optimized geometry

Cell: 3.6944 3.6944 13.3158 Å, 82.03 82.03 60.00°
With the nearest neighbours (Å) after each atom.
Sites, in units of the cell vectors:
Nd  0.0925  0.0925  0.7224  3 Sm 3.62, 1 Sr 3.65, 6 Nd 3.69
Nd  0.9075  0.9075  0.2776  3 Sm 3.62, 1 Sr 3.65, 6 Nd 3.69
Sm  0.5000  0.5000  0.5000  6 Nd 3.62, 6 Sm 3.69
Sr  0.0000  0.0000  0.0000  2 Nd 3.65, 6 Sr 3.69

Summary:
The total energy comes out at -3.81 eV per atom. For the energy above the most stable polymorph in this dataset, the calculation gives 94 meV/atom. The formation energy is 0.7 eV/f.u.